(1)
! GGA-PBE YPuPdRh, optimized geometry; values from VASP
! Space-group type: F-43m, No. 216
! ρ: 10.7 g/cm³
&SYSTEM
  ibrav = 0, nat = 4, ntyp = 4
/
ATOMIC_SPECIES
Y 88.91 Y.upf
Pu 244.00 Pu.upf
Pd 106.42 Pd.upf
Rh 102.91 Rh.upf
CELL_PARAMETERS angstrom
0.000 3.478 3.478
3.478 0.000 3.478
3.478 3.478 0.000
ATOMIC_POSITIONS crystal
Y 0.000 0.000 0.000
Pu 0.500 0.500 0.500
Pd 0.750 0.750 0.750
Rh 0.250 0.250 0.250

(2)
! GGA-PBE YPuPdRh, optimized geometry; values from VASP
! Space-group type: P4mm, No. 99
! ρ: 10.7 g/cm³
&SYSTEM
  ibrav = 0, nat = 4, ntyp = 4
/
ATOMIC_SPECIES
Y 88.91 Y.upf
Pu 244.00 Pu.upf
Pd 106.42 Pd.upf
Rh 102.91 Rh.upf
CELL_PARAMETERS angstrom
3.448 0.000 0.000
0.000 3.448 0.000
0.000 0.000 7.091
ATOMIC_POSITIONS crystal
Y 0.000 0.000 0.000
Pu 0.000 0.000 0.518
Pd 0.500 0.500 0.246
Rh 0.500 0.500 0.755

Which of them is most stable, and which least? Most stable: (2); least stable: (1).

(1)
! GGA-PBE Pu4PdRu2, optimized geometry; values from VASP
! Space-group type: I-42d, No. 122
! ρ: 14.0 g/cm³
&SYSTEM
  ibrav = 0, nat = 14, ntyp = 3
/
ATOMIC_SPECIES
Pu 244.00 Pu.upf
Pd 106.42 Pd.upf
Ru 101.07 Ru.upf
CELL_PARAMETERS angstrom
-4.273 4.273 4.183
4.273 -4.273 4.183
4.273 4.273 -4.183
ATOMIC_POSITIONS crystal
Pu 0.109 0.505 0.743
Pu 0.116 0.011 0.757
Pu 0.255 0.359 0.243
Pu 0.495 0.239 0.604
Pu 0.634 0.891 0.396
Pu 0.641 0.884 0.896
Pu 0.761 0.366 0.257
Pu 0.989 0.745 0.104
Pd 0.250 0.750 0.500
Pd 0.500 0.500 0.000
Ru 0.021 0.125 0.396
Ru 0.375 0.979 0.104
Ru 0.729 0.625 0.604
Ru 0.875 0.271 0.896

(2)
! GGA-PBE Pu4PdRu2, optimized geometry; values from VASP
! Space-group type: C2/m, No. 12
! ρ: 13.3 g/cm³
&SYSTEM
  ibrav = 0, nat = 7, ntyp = 3
/
ATOMIC_SPECIES
Pu 244.00 Pu.upf
Pd 106.42 Pd.upf
Ru 101.07 Ru.upf
CELL_PARAMETERS angstrom
3.998 -3.728 0.000
3.998 3.728 0.000
-0.717 0.000 5.366
ATOMIC_POSITIONS crystal
Pu 0.000 0.500 0.500
Pu 0.205 0.795 0.000
Pu 0.500 0.000 0.500
Pu 0.795 0.205 0.000
Pd 0.000 0.000 0.500
Ru 0.417 0.417 0.254
Ru 0.583 0.583 0.746

Which of them is most stable, and which least? Most stable: (1); least stable: (2).

(1)
! GGA-PBE PuPdS2, optimized geometry; values from VASP
! Space-group type: R3m, No. 160
! ρ: 8.8 g/cm³
&SYSTEM
  ibrav = 0, nat = 4, ntyp = 3
/
ATOMIC_SPECIES
Pu 244.00 Pu.upf
Pd 106.42 Pd.upf
S 32.06 S.upf
CELL_PARAMETERS angstrom
1.937 1.118 6.028
-1.937 1.118 6.028
0.000 -2.236 6.028
ATOMIC_POSITIONS crystal
Pu 0.000 0.000 0.000
Pd 0.811 0.811 0.811
S 0.243 0.243 0.243
S 0.421 0.421 0.421

(2)
! GGA-PBE PuPdS2, optimized geometry; values from VASP
! Space-group type: R-3m, No. 166
! ρ: 9.0 g/cm³
&SYSTEM
  ibrav = 0, nat = 4, ntyp = 3
/
ATOMIC_SPECIES
Pu 244.00 Pu.upf
Pd 106.42 Pd.upf
S 32.06 S.upf
CELL_PARAMETERS angstrom
2.027 1.171 5.342
-2.027 1.171 5.342
0.000 -2.341 5.342
ATOMIC_POSITIONS crystal
Pu 0.000 0.000 0.000
Pd 0.500 0.500 0.500
S 0.248 0.248 0.248
S 0.752 0.752 0.752

(3)
! GGA-PBE PuPdS2, optimized geometry; values from VASP
! Space-group type: P2_1/c, No. 14
! ρ: 9.0 g/cm³
&SYSTEM
  ibrav = 0, nat = 16, ntyp = 3
/
ATOMIC_SPECIES
Pu 244.00 Pu.upf
Pd 106.42 Pd.upf
S 32.06 S.upf
CELL_PARAMETERS angstrom
6.654 0.000 0.000
0.000 6.816 0.000
-1.130 0.000 6.739
ATOMIC_POSITIONS crystal
Pu 0.210 0.050 0.305
Pu 0.210 0.450 0.805
Pu 0.790 0.550 0.195
Pu 0.790 0.950 0.695
Pd 0.287 0.569 0.306
Pd 0.287 0.931 0.806
Pd 0.713 0.069 0.194
Pd 0.713 0.431 0.694
S 0.079 0.737 0.515
S 0.079 0.763 0.015
S 0.438 0.184 0.647
S 0.438 0.316 0.147
S 0.562 0.684 0.853
S 0.562 0.816 0.353
S 0.921 0.237 0.985
S 0.921 0.263 0.485

(4)
! GGA-PBE PuPdS2, optimized geometry; values from VASP
! Space-group type: P2_1/m, No. 11
! ρ: 8.5 g/cm³
&SYSTEM
  ibrav = 0, nat = 8, ntyp = 3
/
ATOMIC_SPECIES
Pu 244.00 Pu.upf
Pd 106.42 Pd.upf
S 32.06 S.upf
CELL_PARAMETERS angstrom
4.075 0.000 0.000
0.000 5.274 0.000
-1.952 0.000 7.554
ATOMIC_POSITIONS crystal
Pu 0.178 0.250 0.347
Pu 0.822 0.750 0.653
Pd 0.389 0.250 0.794
Pd 0.611 0.750 0.206
S 0.200 0.750 0.397
S 0.429 0.750 0.876
S 0.571 0.250 0.124
S 0.800 0.250 0.603

Which of them is most stable, and which least? Most stable: (3); least stable: (1).

(1)
! GGA-PBE PuSb2Pd4, optimized geometry; values from VASP
! Space-group type: C2/m, No. 12
! ρ: 10.9 g/cm³
&SYSTEM
  ibrav = 0, nat = 7, ntyp = 3
/
ATOMIC_SPECIES
Pu 244.00 Pu.upf
Sb 121.76 Sb.upf
Pd 106.42 Pd.upf
CELL_PARAMETERS angstrom
3.947 -2.273 0.000
3.947 2.273 0.000
-2.609 0.000 7.735
ATOMIC_POSITIONS crystal
Pu 0.000 0.000 0.000
Sb 0.256 0.256 0.767
Sb 0.744 0.744 0.233
Pd 0.140 0.140 0.421
Pd 0.432 0.432 0.298
Pd 0.568 0.568 0.702
Pd 0.860 0.860 0.579

(2)
! GGA-PBE PuSb2Pd4, optimized geometry; values from VASP
! Space-group type: P4_2/mnm, No. 136
! ρ: 11.0 g/cm³
&SYSTEM
  ibrav = 0, nat = 14, ntyp = 3
/
ATOMIC_SPECIES
Pu 244.00 Pu.upf
Sb 121.76 Sb.upf
Pd 106.42 Pd.upf
CELL_PARAMETERS angstrom
7.973 0.000 0.000
0.000 7.973 0.000
0.000 0.000 4.339
ATOMIC_POSITIONS crystal
Pu 0.000 0.000 0.000
Pu 0.500 0.500 0.500
Sb 0.216 0.216 0.500
Sb 0.284 0.716 0.000
Sb 0.716 0.284 0.000
Sb 0.784 0.784 0.500
Pd 0.097 0.648 0.500
Pd 0.148 0.403 0.000
Pd 0.352 0.903 0.500
Pd 0.403 0.148 0.000
Pd 0.597 0.852 0.000
Pd 0.648 0.097 0.500
Pd 0.852 0.597 0.000
Pd 0.903 0.352 0.500

Which of them is most stable, and which least? Most stable: (2); least stable: (1).

(1)
! GGA-PBE PuSb2Pd6, optimized geometry; values from VASP
! Space-group type: P6/mmm, No. 191
! ρ: 9.7 g/cm³
&SYSTEM
  ibrav = 0, nat = 9, ntyp = 3
/
ATOMIC_SPECIES
Pu 244.00 Pu.upf
Sb 121.76 Sb.upf
Pd 106.42 Pd.upf
CELL_PARAMETERS angstrom
5.625 0.000 0.000
-2.813 4.871 0.000
0.000 0.000 7.011
ATOMIC_POSITIONS crystal
Pu 0.000 0.000 0.000
Sb 0.333 0.667 0.500
Sb 0.667 0.333 0.500
Pd 0.000 0.500 0.195
Pd 0.000 0.500 0.805
Pd 0.500 0.000 0.195
Pd 0.500 0.000 0.805
Pd 0.500 0.500 0.195
Pd 0.500 0.500 0.805

(2)
! GGA-PBE PuSb2Pd6, optimized geometry; values from VASP
! Space-group type: C2/m, No. 12
! ρ: 10.8 g/cm³
&SYSTEM
  ibrav = 0, nat = 9, ntyp = 3
/
ATOMIC_SPECIES
Pu 244.00 Pu.upf
Sb 121.76 Sb.upf
Pd 106.42 Pd.upf
CELL_PARAMETERS angstrom
5.349 -3.911 0.000
5.349 3.911 0.000
-1.958 0.000 4.147
ATOMIC_POSITIONS crystal
Pu 0.000 0.000 0.000
Sb 0.329 0.329 0.328
Sb 0.671 0.671 0.672
Pd 0.131 0.512 0.821
Pd 0.228 0.772 0.500
Pd 0.488 0.869 0.179
Pd 0.512 0.131 0.821
Pd 0.772 0.228 0.500
Pd 0.869 0.488 0.179

Which of them is most stable, and which least? Most stable: (2); least stable: (1).

(1)
! GGA-PBE PuSb3Pd3, optimized geometry; values from VASP
! Space-group type: Pm-3n, No. 223
! ρ: 8.0 g/cm³
&SYSTEM
  ibrav = 0, nat = 14, ntyp = 3
/
ATOMIC_SPECIES
Pu 244.00 Pu.upf
Sb 121.76 Sb.upf
Pd 106.42 Pd.upf
CELL_PARAMETERS angstrom
7.265 0.000 0.000
0.000 7.265 0.000
0.000 0.000 7.265
ATOMIC_POSITIONS crystal
Pu 0.000 0.000 0.000
Pu 0.500 0.500 0.500
Sb 0.000 0.250 0.500
Sb 0.000 0.750 0.500
Sb 0.250 0.500 0.000
Sb 0.500 0.000 0.250
Sb 0.500 0.000 0.750
Sb 0.750 0.500 0.000
Pd 0.000 0.500 0.250
Pd 0.000 0.500 0.750
Pd 0.250 0.000 0.500
Pd 0.500 0.250 0.000
Pd 0.500 0.750 0.000
Pd 0.750 0.000 0.500

(2)
! GGA-PBE PuSb3Pd3, optimized geometry; values from VASP
! Space-group type: R-3, No. 148
! ρ: 9.2 g/cm³
&SYSTEM
  ibrav = 0, nat = 14, ntyp = 3
/
ATOMIC_SPECIES
Pu 244.00 Pu.upf
Sb 121.76 Sb.upf
Pd 106.42 Pd.upf
CELL_PARAMETERS angstrom
4.081 2.356 5.826
-4.081 2.356 5.826
0.000 -4.712 5.826
ATOMIC_POSITIONS crystal
Pu 0.166 0.166 0.166
Pu 0.834 0.834 0.834
Sb 0.100 0.411 0.723
Sb 0.277 0.900 0.589
Sb 0.411 0.723 0.100
Sb 0.589 0.277 0.900
Sb 0.723 0.100 0.411
Sb 0.900 0.589 0.277
Pd 0.061 0.761 0.413
Pd 0.239 0.587 0.939
Pd 0.413 0.061 0.761
Pd 0.587 0.939 0.239
Pd 0.761 0.413 0.061
Pd 0.939 0.239 0.587

Which of them is most stable, and which least? Most stable: (2); least stable: (1).

(1)
! GGA-PBE Pu2SbPd2, optimized geometry; values from VASP
! Space-group type: R-3m, No. 166
! ρ: 12.9 g/cm³
&SYSTEM
  ibrav = 0, nat = 5, ntyp = 3
/
ATOMIC_SPECIES
Pu 244.00 Pu.upf
Sb 121.76 Sb.upf
Pd 106.42 Pd.upf
CELL_PARAMETERS angstrom
2.435 1.406 5.144
-2.435 1.406 5.144
0.000 -2.812 5.144
ATOMIC_POSITIONS crystal
Pu 0.209 0.209 0.209
Pu 0.791 0.791 0.791
Sb 0.000 0.000 0.000
Pd 0.409 0.409 0.409
Pd 0.591 0.591 0.591

(2)
! GGA-PBE Pu2SbPd2, optimized geometry; values from VASP
! Space-group type: P4/mbm, No. 127
! ρ: 12.1 g/cm³
&SYSTEM
  ibrav = 0, nat = 10, ntyp = 3
/
ATOMIC_SPECIES
Pu 244.00 Pu.upf
Sb 121.76 Sb.upf
Pd 106.42 Pd.upf
CELL_PARAMETERS angstrom
7.443 0.000 0.000
0.000 7.443 0.000
0.000 0.000 4.082
ATOMIC_POSITIONS crystal
Pu 0.177 0.323 0.000
Pu 0.323 0.823 0.000
Pu 0.677 0.177 0.000
Pu 0.823 0.677 0.000
Sb 0.000 0.000 0.500
Sb 0.500 0.500 0.500
Pd 0.128 0.628 0.500
Pd 0.372 0.128 0.500
Pd 0.628 0.872 0.500
Pd 0.872 0.372 0.500

Which of them is most stable, and which least? Most stable: (2); least stable: (1).

(1)
! GGA-PBE Pu2Sb2Pd, optimized geometry; values from VASP
! Space-group type: P2_1/c, No. 14
! ρ: 10.5 g/cm³
&SYSTEM
  ibrav = 0, nat = 20, ntyp = 3
/
ATOMIC_SPECIES
Pu 244.00 Pu.upf
Sb 121.76 Sb.upf
Pd 106.42 Pd.upf
CELL_PARAMETERS angstrom
9.259 0.000 0.000
0.000 7.873 0.000
-0.089 0.000 7.237
ATOMIC_POSITIONS crystal
Pu 0.118 0.233 0.007
Pu 0.118 0.267 0.507
Pu 0.375 0.719 0.499
Pu 0.375 0.781 0.999
Pu 0.625 0.219 0.001
Pu 0.625 0.281 0.501
Pu 0.882 0.733 0.493
Pu 0.882 0.767 0.993
Sb 0.122 0.589 0.236
Sb 0.122 0.911 0.736
Sb 0.363 0.084 0.286
Sb 0.363 0.416 0.786
Sb 0.637 0.584 0.214
Sb 0.637 0.916 0.714
Sb 0.878 0.089 0.264
Sb 0.878 0.411 0.764
Pd 0.378 0.079 0.697
Pd 0.378 0.421 0.197
Pd 0.622 0.579 0.803
Pd 0.622 0.921 0.303

(2)
! GGA-PBE Pu2Sb2Pd, optimized geometry; values from VASP
! Space-group type: Cmc2_1, No. 36
! ρ: 11.1 g/cm³
&SYSTEM
  ibrav = 0, nat = 10, ntyp = 3
/
ATOMIC_SPECIES
Pu 244.00 Pu.upf
Sb 121.76 Sb.upf
Pd 106.42 Pd.upf
CELL_PARAMETERS angstrom
2.434 -8.292 0.000
2.434 8.292 0.000
0.000 0.000 6.206
ATOMIC_POSITIONS crystal
Pu 0.000 0.000 0.000
Pu 0.000 0.000 0.500
Pu 0.209 0.791 0.745
Pu 0.791 0.209 0.245
Sb 0.171 0.829 0.246
Sb 0.417 0.583 0.251
Sb 0.583 0.417 0.751
Sb 0.829 0.171 0.746
Pd 0.411 0.589 0.754
Pd 0.589 0.411 0.254

Which of them is most stable, and which least? Most stable: (1); least stable: (2).